DFT (meta-GGA SCAN) results for a PBEsol-optimized structure of Zn2CdTc.

Calculated values
The volume is 15.21 A^3/atom. As for the crystal system: tetragonal. For the theoretical density, the calculation gives 9.3 g cm⁻³. As for the energy: -22.90 eV/atom.

The structure in POSCAR format:
```
Zn2CdTc
1.0
3.1868 0.0000 0.0000
0.0000 3.1868 0.0000
0.0000 0.0000 5.9888
Cd Tc Zn
1 1 2
Cartesian
1.5934 1.5934 0.0000 Cd
1.5934 1.5934 2.9944 Tc
0.0000 0.0000 4.3019 Zn
0.0000 0.0000 1.6869 Zn
```